First-principles (PBE) data for a geometry-optimized La5Mo structure, as listed in Alexandria.

a b c (Å): 6.291 6.291 6.003
angles (deg): 90.00 90.00 120.00
Element x y z (fractional)
La1 0.000 0.500 0.000
La2 0.333 0.667 0.500
La3 0.500 0.000 0.000
La4 0.500 0.500 0.000
La5 0.667 0.333 0.500
Mo1 0.000 0.000 0.500

Summary:
- symmetry = P6/mmm, No. 191
- calculated formation energy (eV per atom) = 0.9029
- D(E_F) (states/eV/f.u.) = 10.1

=====

First-principles (PBE) data for a geometry-optimized La2TeF2 structure, as listed in Alexandria.

a b c (Å): 7.538 7.538 7.538
angles (deg): 149.09 149.09 44.27
Element x y z (fractional)
La1 0.132 0.132 0.000
La2 0.868 0.868 0.000
Te1 0.500 0.500 0.000
F1 0.250 0.750 0.500
F2 0.750 0.250 0.500

Summary:
- symmetry = I4/mmm, No. 139
- energy relative to the elements, uncorrected (eV/atom) = -2.685
- D(E_F) (states/eV/f.u.) = 2.4

=====

First-principles (PBE) data for a geometry-optimized Na2CoPd2 structure, as listed in Alexandria.

a b c (Å): 6.358 6.358 4.798
angles (deg): 90.00 90.00 90.00
Element x y z (fractional)
Na1 0.173 0.327 0.000
Na2 0.327 0.827 0.000
Na3 0.673 0.173 0.000
Na4 0.827 0.673 0.000
Co1 0.000 0.000 0.500
Co2 0.500 0.500 0.500
Pd1 0.145 0.645 0.500
Pd2 0.355 0.145 0.500
Pd3 0.645 0.855 0.500
Pd4 0.855 0.355 0.500

Summary:
- symmetry = P4/mbm, No. 127
- calculated formation energy (eV per atom) = 0.1889
- D(E_F) (states/eV/f.u.) = 4.6

=====

First-principles (PBE) data for a geometry-optimized HfAsBr2O structure, as listed in Alexandria.

a b c (Å): 4.656 4.656 4.417
angles (deg): 90.00 90.00 90.00
Element x y z (fractional)
Hf1 0.000 0.000 0.000
As1 0.500 0.500 0.000
Br1 0.000 0.500 0.500
Br2 0.500 0.000 0.500
O1 0.500 0.500 0.500

Summary:
- symmetry = P4/mmm, No. 123
- energy relative to the elements, uncorrected (eV/atom) = 0.379
- D(E_F) (states/eV/f.u.) = 3.7

=====

First-principles (PBE) data for a geometry-optimized Ba2CdPb8 structure, as listed in Alexandria.

a b c (Å): 5.245 5.245 13.455
angles (deg): 90.00 90.00 90.00
Element x y z (fractional)
Ba1 0.000 0.000 0.186
Ba2 0.000 0.000 0.814
Cd1 0.000 0.000 0.500
Pb1 0.000 0.500 0.000
Pb2 0.000 0.500 0.372
Pb3 0.000 0.500 0.628
Pb4 0.500 0.000 0.000
Pb5 0.500 0.000 0.372
Pb6 0.500 0.000 0.628
Pb7 0.500 0.500 0.192
Pb8 0.500 0.500 0.808

Summary:
- symmetry = P4/mmm, No. 123
- calculated formation energy (eV per atom) = -0.2240
- D(E_F) (states/eV/f.u.) = 3.6

=====

First-principles (PBE) data for a geometry-optimized Ti2AlPb structure, as listed in Alexandria.

a b c (Å): 4.175 4.175 4.235
angles (deg): 90.00 90.00 90.00
Element x y z (fractional)
Ti1 0.000 0.500 0.000
Ti2 0.500 0.000 0.000
Al1 0.000 0.000 0.500
Pb1 0.500 0.500 0.500

Summary:
- symmetry = P4/mmm, No. 123
- calculated formation energy (eV per atom) = -0.0835
- D(E_F) (states/eV/f.u.) = 3.2

=====

First-principles (PBE) data for a geometry-optimized Sm2RhSe structure, as listed in Alexandria.

a b c (Å): 3.553 3.553 7.278
angles (deg): 90.00 90.00 90.00
Element x y z (fractional)
Sm1 0.000 0.000 0.236
Sm2 0.000 0.000 0.764
Rh1 0.500 0.500 0.000
Se1 0.500 0.500 0.500

Summary:
- symmetry = P4/mmm, No. 123
- energy relative to the elements, uncorrected (eV/atom) = -1.111
- D(E_F) (states/eV/f.u.) = 1.6

=====

First-principles (PBE) data for a geometry-optimized NaNd2RhO6 structure, as listed in Alexandria.

a b c (Å): 5.537 5.991 9.641
angles (deg): 90.00 124.14 90.00
Element x y z (fractional)
Na1 0.000 0.000 0.000
Na2 0.000 0.500 0.500
Nd1 0.225 0.076 0.746
Nd2 0.225 0.424 0.246
Nd3 0.775 0.576 0.754
Nd4 0.775 0.924 0.254
Rh1 0.500 0.000 0.500
Rh2 0.500 0.500 0.000
O1 0.151 0.173 0.447
O2 0.151 0.327 0.947
O3 0.269 0.717 0.431
O4 0.269 0.783 0.931
O5 0.389 0.050 0.267
O6 0.389 0.450 0.767
O7 0.611 0.550 0.233
O8 0.611 0.950 0.733
O9 0.731 0.217 0.069
O10 0.731 0.283 0.569
O11 0.849 0.673 0.053
O12 0.849 0.827 0.553

Summary:
- symmetry = P2_1/c, No. 14
- energy relative to the elements, uncorrected (eV/atom) = -2.165
- D(E_F) (states/eV/f.u.) = 5.2